Entry 1:
Computed, not measured: a PBEsol-optimized structure of Ce at the SCAN level of DFT.

Unit cell a=3.1049 b=3.1049 c=5.6364 alpha=90.00 beta=90.00 gamma=120.00
Fractional coordinates of all 2 atoms:
Ce: 0.3333 0.6667 0.2500
Ce: 0.6667 0.3333 0.7500

Values from the calculation:
energy relative to the lowest polymorph listed for this composition = 0.1042 eV/atom
calculated formation energy = 0.1042 eV/atom
total DFT energy (no corrections) = -44.46 eV/atom
calculated density = 9.89 g cm⁻³
volume = 23.53 Å³ per atom

Entry 2:
Computed, not measured: a PBEsol-optimized structure of TaMnH2 at the SCAN level of DFT.

Unit cell a=5.1500 b=5.1500 c=5.1500 alpha=135.00 beta=135.00 gamma=65.53
Fractional coordinates of all 8 atoms:
Ta: 0.0000 0.0000 0.0000
Ta: 0.7500 0.2500 0.5000
Mn: 0.2500 0.7500 0.5000
Mn: 0.5000 0.5000 0.0000
H: 0.1830 0.6250 0.0580
H: 0.3750 0.4330 0.5580
H: 0.5670 0.1250 0.9420
H: 0.8750 0.8170 0.4420

Values from the calculation:
total DFT energy (no corrections) = -22.88 eV/atom
calculated density = 11.74 g cm⁻³
volume = 8.41 Å³ per atom

Entry 3:
Computed, not measured: a PBEsol-optimized structure of CrFe2SiSe at the SCAN level of DFT.

Unit cell a=4.2122 b=4.2122 c=4.8658 alpha=90.00 beta=90.00 gamma=90.00
Fractional coordinates of all 5 atoms:
Cr: 0.0000 0.0000 0.0000
Fe: 0.0000 0.5000 0.5000
Fe: 0.5000 0.0000 0.5000
Si: 0.5000 0.5000 0.5000
Se: 0.5000 0.5000 0.0000

Values from the calculation:
total DFT energy (no corrections) = -16.10 eV/atom
calculated density = 5.21 g cm⁻³
volume = 17.27 Å³ per atom
energy relative to the elements, uncorrected = 847 meV/atom

Entry 4:
Computed, not measured: a PBEsol-optimized structure of MgZrAl at the SCAN level of DFT.

Unit cell a=4.5228 b=4.5228 c=4.5228 alpha=60.00 beta=60.00 gamma=60.00
Fractional coordinates of all 3 atoms:
Mg: 0.0000 0.0000 0.0000
Zr: 0.2500 0.2500 0.2500
Al: 0.7500 0.7500 0.7500

Values from the calculation:
calculated formation energy = 0.4281 eV/atom
total DFT energy (no corrections) = -14.05 eV/atom
calculated density = 3.62 g cm⁻³
volume = 21.81 Å³ per atom

Entry 5:
Computed, not measured: a PBEsol-optimized structure of ZrFeBr2 at the SCAN level of DFT.

Unit cell a=5.8051 b=5.8051 c=5.8051 alpha=141.66 beta=141.66 gamma=55.34
Fractional coordinates of all 4 atoms:
Zr: 0.0000 0.0000 0.0000
Fe: 0.2500 0.7500 0.5000
Br: 0.5000 0.5000 0.0000
Br: 0.7500 0.2500 0.5000

Values from the calculation:
energy relative to the lowest polymorph listed for this composition = 0.1121 eV/atom
total DFT energy (no corrections) = -21.77 eV/atom
calculated density = 6.82 g cm⁻³
volume = 18.68 Å³ per atom
energy relative to the elements, uncorrected = 171 meV/atom

Entry 6:
Computed, not measured: a PBEsol-optimized structure of AlCd2Se at the SCAN level of DFT.

Unit cell a=6.2128 b=6.2128 c=6.2128 alpha=147.06 beta=138.31 gamma=54.13
Fractional coordinates of all 4 atoms:
Al: 0.0000 0.0000 0.0000
Cd: 0.2262 0.7262 0.5000
Cd: 0.5513 0.5513 0.0000
Se: 0.8326 0.3326 0.5000

Values from the calculation:
energy relative to the lowest polymorph listed for this composition = 0.1592 eV/atom
total DFT energy (no corrections) = -22.24 eV/atom
calculated density = 6.37 g cm⁻³
volume = 21.55 Å³ per atom
energy relative to the elements, uncorrected = -78 meV/atom

Entry 7:
Computed, not measured: a PBEsol-optimized structure of KYAs2 at the SCAN level of DFT.

Unit cell a=5.0623 b=5.0623 c=5.0623 alpha=60.00 beta=60.00 gamma=60.00
Fractional coordinates of all 4 atoms:
K: 0.0000 0.0000 0.0000
Y: 0.7500 0.7500 0.7500
As: 0.2500 0.2500 0.2500
As: 0.5000 0.5000 0.5000

Values from the calculation:
energy relative to the lowest polymorph listed for this composition = 0.6818 eV/atom
calculated formation energy = -0.0619 eV/atom
total DFT energy (no corrections) = -19.20 eV/atom
calculated density = 5.03 g cm⁻³
volume = 22.93 Å³ per atom

Entry 8:
Computed, not measured: a PBEsol-optimized structure of MnRhSe2 at the SCAN level of DFT.

Unit cell a=4.4072 b=4.4072 c=4.4072 alpha=60.00 beta=60.00 gamma=60.00
Fractional coordinates of all 4 atoms:
Mn: 0.0000 0.0000 0.0000
Rh: 0.5000 0.5000 0.5000
Se: 0.2500 0.2500 0.2500
Se: 0.7500 0.7500 0.7500

Values from the calculation:
energy relative to the lowest polymorph listed for this composition = 0.3033 eV/atom
total DFT energy (no corrections) = -23.21 eV/atom
calculated density = 8.66 g cm⁻³
volume = 15.13 Å³ per atom
energy relative to the elements, uncorrected = -162 meV/atom

no.,total magnetization (μB/f.u.)
1,0.0
2,0.0
3,8.9
4,0.0
5,1.7
6,0.0
7,0.0
8,3.2